Entry 1:
GGA-PBE Na4SrSm, relaxed; DFT formation energy = 190 meV per atom; volume = 224.5 Å³/f.u.; energy = -10.54 eV per formula unit; total magnetization = 0.0 μB per cell
1.0
-4.938 -3.563 -3.076
1.170 -2.933 -6.047
0.474 -6.790 -0.463
Na Sr Sm
4 1 1
Direct
0.122 0.626 0.626
0.626 0.626 0.122
0.626 0.122 0.626
0.626 0.626 0.626
0.250 0.250 0.250
0.000 0.000 0.000

Entry 2:
GGA-PBE NaSrSm, relaxed; DFT formation energy = 68 meV per atom; volume = 121.2 Å³/f.u.; energy = -7.52 eV per formula unit; total magnetization = 0.0 μB per cell
1.0
-3.917 -0.043 0.740
0.611 -2.416 3.111
-1.709 9.678 12.952
Sm Sr Na
2 2 2
Direct
0.556 0.556 0.224
0.197 0.197 0.083
0.878 0.878 0.403
0.875 0.875 0.905
0.198 0.198 0.583
0.556 0.556 0.724